No. 1
Crystalline NaCoTe2O8 at its relaxed geometry, computed with GGA+U.

Results
density: 4.75 Mg/m³
spin magnetization: 0.0 μB/f.u.
E: -5.13 eV per atom
space group: No. 147

Cell lengths 5.362, 5.362, 6.533 Å; angles 90.00, 90.00, 120.00 degrees
Atoms (fractional coordinates):
O 0.352 0.281 0.871
O 0.071 0.352 0.129
O 0.719 0.071 0.871
O 0.281 0.929 0.129
O 0.667 0.333 0.368
O 0.929 0.648 0.871
O 0.648 0.719 0.129
O 0.333 0.667 0.632
Te 0.333 0.667 0.913
Te 0.667 0.333 0.087
Na 0.000 0.000 0.500
Co 0.000 0.000 0.000

No. 2
Crystalline NaCoTeO4 at its relaxed geometry, computed with GGA+U.

Results
density: 4.98 Mg/m³
spin magnetization: 0.0 μB/f.u.
E: -5.18 eV per atom
space group: No. 74

Cell lengths 6.048, 6.375, 6.685 Å; angles 121.62, 90.00, 118.32 degrees
Atoms (fractional coordinates):
O 0.293 0.060 0.280
O 0.707 0.940 0.720
O 0.743 0.485 0.299
O 0.257 0.515 0.701
O 0.743 0.485 0.686
O 0.234 0.940 0.720
O 0.766 0.060 0.280
O 0.257 0.515 0.314
Na 0.137 0.275 0.887
Na 0.863 0.725 0.113
Co 0.500 0.500 0.500
Co 0.000 0.500 0.500
Te 0.500 0.000 0.000
Te 0.500 0.000 0.500